Density functional theory data (PBE-GGA) for an optimized crystal structure of Cs2SrTe2O6.

Structure (POSCAR):
```
Cs2SrTe2O6
1.0
6.5797 0.0000 0.0000
-3.2899 5.6756 0.5532
0.0000 -2.3444 7.7838
O Cs Sr Te
6 2 1 2
Cartesian
1.4512 0.0230 2.6198
-1.8387 3.3082 5.7171
0.0000 2.5333 2.8482
3.2899 0.7979 5.4888
5.1285 0.0230 2.6198
1.8387 3.3082 5.7171
0.0000 0.5821 5.5414
3.2899 2.7491 2.7956
3.2899 -1.1722 3.8919
3.2899 2.3936 6.4901
0.0000 0.9376 1.8469
```

Results
Uncorrected formation energy: -1797 kJ/mol of formula units